Model i:
A relaxed AcIn6Hg2 crystal. Source: the Alexandria database, functional PBE.

For the total moment, the calculation gives 0.0 μB/f.u.

It has space group C2/m (No. 12), with a = 15.331 Å, b = 9.432 Å, c = 3.627 Å, α = 90.00°, β = 103.27° and γ = 90.00°. The inequivalent atoms are Ac at (0.000, 0.000, 0.000), In at (0.000, 0.330, 0.500), In at (0.185, 0.168, 0.683) and Hg at (0.139, 0.500, 0.134).

---

Model ii:
A relaxed AcIn6Hg2 crystal. Source: the Alexandria database, functional PBE.

For the total moment, the calculation gives 0.0 μB/f.u.

It has space group P4/mmm (No. 123), with a = 4.628 Å, b = 4.628 Å, c = 11.698 Å, α = 90.00°, β = 90.00° and γ = 90.00°. The inequivalent atoms are Ac at (0.000, 0.000, 0.000), In at (0.000, 0.000, 0.500), In at (0.000, 0.500, 0.285), In at (0.500, 0.500, 0.500) and Hg at (0.500, 0.500, 0.121).

---

Most stable of them? model ii.